! La2Fe2Se2O3 (PBE+U, relaxed); values from VASP
! E_tot: -6.776 eV per atom
! symmetry: C2/m, No. 12
&SYSTEM
  ibrav = 0, nat = 9, ntyp = 4
/
ATOMIC_SPECIES
La 138.91 La.upf
Fe 55.84 Fe.upf
Se 78.96 Se.upf
O 16.00 O.upf
ATOMIC_POSITIONS crystal
La 0.685 0.679 0.629
La 0.315 0.321 0.371
Fe 0.500 0.000 0.000
Fe 0.000 0.500 0.000
Se 0.097 0.078 0.807
Se 0.903 0.922 0.193
O 0.500 0.500 0.000
O 0.250 0.749 0.500
O 0.750 0.251 0.499
CELL_PARAMETERS angstrom
-1.134 -1.680 -3.605
-3.369 -1.529 1.770
-7.147 6.140 -2.983